1.
# ScTc2Os, relaxed, DFT PBE
# energy of formation from the pure elements = -0.048 eV per atom
# energy above the lowest structure with this stoichiometry = 10 meV per atom
data_ScTc2Os
_chemical_formula_sum 'Sc1 Tc2 Os1'
_cell_length_a 3.098
_cell_length_b 3.098
_cell_length_c 6.512
_cell_angle_alpha 90.00
_cell_angle_beta 90.00
_cell_angle_gamma 90.00
_symmetry_space_group_name_H-M 'P 4 m m'
_symmetry_Int_Tables_number 99
loop_
_symmetry_equiv_pos_as_xyz
'x,y,z'
'-y,x,z'
'-x,-y,z'
'y,-x,z'
'-x,y,z'
'y,x,z'
'x,-y,z'
'-y,-x,z'
loop_
_atom_site_label
_atom_site_type_symbol
_atom_site_fract_x
_atom_site_fract_y
_atom_site_fract_z
Sc1 Sc 0.000 0.000 0.000
Tc1 Tc 0.000 0.000 0.494
Tc2 Tc 0.500 0.500 0.264
Os1 Os 0.500 0.500 0.742

=====

2.
# Cs2U3Se8, relaxed, DFT PBE
# E_form (uncorrected) = -107.53 kJ per mole of atoms
# energy above the lowest structure with this stoichiometry = 70 meV per atom
data_Cs2U3Se8
_chemical_formula_sum 'Cs4 U6 Se16'
_cell_length_a 10.188
_cell_length_b 17.768
_cell_length_c 4.761
_cell_angle_alpha 90.00
_cell_angle_beta 90.00
_cell_angle_gamma 90.00
_symmetry_space_group_name_H-M 'C m m m'
_symmetry_Int_Tables_number 65
_symmetry_space_group_name_Hall '-C 2 2'
loop_
_atom_site_label
_atom_site_type_symbol
_atom_site_fract_x
_atom_site_fract_y
_atom_site_fract_z
Cs1 Cs 0.000 0.242 0.000
U1 U 0.000 0.500 0.000
U2 U 0.212 0.000 0.500
Se1 Se 0.000 0.096 0.500
Se2 Se 0.000 0.410 0.500
Se3 Se 0.237 0.409 0.000

=====

> The highest energy above the lowest structure with this stoichiometry belongs to which entry?

Cs2U3Se8